(1)
# Ce2Zn2Ag (GGA-PBE, relaxed)
# - Calculated volume: 434.9 Å³ per cell
# - DOS at the Fermi energy: 9.9 states/eV/f.u.
# - Relative energy among the computed polymorphs: 0.0000 eV/atom
# - Energy of formation: -0.197 eV per atom
# - Size of the total moment: 0.229 μB per atom
data_Ce2Zn2Ag
_cell_length_a 10.5221
_cell_length_b 4.6623
_cell_length_c 9.1517
_cell_angle_alpha 90.00
_cell_angle_beta 104.37
_cell_angle_gamma 90.00
_symmetry_space_group_name_H-M 'C 1 2/m 1'
_symmetry_Int_Tables_number 12
loop_
_symmetry_equiv_pos_as_xyz
'x,y,z'
'-x,-y,-z'
'-x,y,-z'
'x,-y,z'
'x+1/2,y+1/2,z'
'-x+1/2,-y+1/2,-z'
'-x+1/2,y+1/2,-z'
'x+1/2,-y+1/2,z'
loop_
_atom_site_label
_atom_site_type_symbol
_atom_site_fract_x
_atom_site_fract_y
_atom_site_fract_z
Ce1 Ce 0.0540 0.0000 0.3762
Ce2 Ce 0.1843 0.0000 0.0509
Zn1 Zn 0.0087 0.5000 0.8619
Zn2 Zn 0.1318 0.5000 0.6090
Ag1 Ag 0.2416 0.5000 0.3019

---

(2)
# Ce2Zn3Ag5 (GGA-PBE, relaxed)
# - Calculated volume: 813.1 Å³ per cell
# - DOS at the Fermi energy: 15.9 states/eV/f.u.
# - Energy of formation: -0.140 eV per atom
# - Size of the total moment: 0.190 μB per atom
data_Ce2Zn3Ag5
_cell_length_a 4.6718
_cell_length_b 24.6085
_cell_length_c 7.0724
_cell_angle_alpha 90.00
_cell_angle_beta 90.00
_cell_angle_gamma 90.00
_symmetry_space_group_name_H-M 'C m c 21'
_symmetry_Int_Tables_number 36
loop_
_symmetry_equiv_pos_as_xyz
'x,y,z'
'-x,-y,z+1/2'
'-x,y,z'
'x,-y,z+1/2'
'x+1/2,y+1/2,z'
'-x+1/2,-y+1/2,z+1/2'
'-x+1/2,y+1/2,z'
'x+1/2,-y+1/2,z+1/2'
loop_
_atom_site_label
_atom_site_type_symbol
_atom_site_fract_x
_atom_site_fract_y
_atom_site_fract_z
Ce1 Ce 0.0000 0.0162 0.0000
Ce2 Ce 0.0000 0.3273 0.9508
Zn1 Zn 0.0000 0.1038 0.3127
Zn2 Zn 0.0000 0.2724 0.3698
Zn3 Zn 0.0000 0.4434 0.1834
Ag1 Ag 0.0000 0.1138 0.7118
Ag2 Ag 0.0000 0.1939 0.0896
Ag3 Ag 0.0000 0.2271 0.6940
Ag4 Ag 0.0000 0.3767 0.4867
Ag5 Ag 0.0000 0.4511 0.7938